1.
# AlGaFe2O6

A relaxed AlGaFe2O6 crystal (PBE+U, Alexandria).

a b c (Å): 4.9826 4.9826 13.5114
angles (deg): 90.00 90.00 120.00
Space group R3 (No. 146, hexagonal axes)
Asymmetric unit:
Al: 0.0000 0.0000 0.0000 (multiplicity 3)
Ga: 0.0000 0.0000 0.5133 (multiplicity 3)
Fe: 0.0000 0.0000 0.3068 (multiplicity 3)
Fe: 0.0000 0.0000 0.7943 (multiplicity 3)
O: 0.0015 0.3022 0.9051 (multiplicity 9)
O: 0.0346 0.6834 0.0660 (multiplicity 9)

## Properties
Total magnetization   6.01 μB per formula unit
Volume   291 Å³/cell
Crystal system   trigonal
Final energy   -6.55 eV per atom



2.
# Al2GaFeO6

A relaxed Al2GaFeO6 crystal (PBE+U, Alexandria).

a b c (Å): 4.9038 4.9038 13.2670
angles (deg): 90.00 90.00 120.00
Space group R3 (No. 146, hexagonal axes)
Asymmetric unit:
Al: 0.0000 0.0000 0.0000 (multiplicity 3)
Al: 0.0000 0.0000 0.4922 (multiplicity 3)
Ga: 0.0000 0.0000 0.2057 (multiplicity 3)
Fe: 0.0000 0.0000 0.6954 (multiplicity 3)
O: 0.0133 0.7004 0.0949 (multiplicity 9)
O: 0.0185 0.3116 0.5965 (multiplicity 9)

## Properties
Total magnetization   1.01 μB per formula unit
Volume   276 Å³/cell
Crystal system   trigonal
Final energy   -6.75 eV per atom



3.
# Sr2AlGaFe2O7

A relaxed Sr2AlGaFe2O7 crystal (PBE+U, Alexandria).

a b c (Å): 22.8035 5.7472 5.5136
angles (deg): 90.00 103.79 90.00
Space group Cc (No. 9)
Asymmetric unit:
Sr: 0.0000 0.2233 0.0000 (multiplicity 4)
Sr: 0.1979 0.2246 0.1975 (multiplicity 4)
Al: 0.3468 0.2530 0.3543 (multiplicity 4)
Ga: 0.1000 0.3200 0.5776 (multiplicity 4)
Fe: 0.2803 0.2547 0.7857 (multiplicity 4)
Fe: 0.4071 0.2430 0.9120 (multiplicity 4)
O: 0.0256 0.1905 0.5694 (multiplicity 4)
O: 0.0990 0.3867 0.2369 (multiplicity 4)
O: 0.1773 0.2009 0.7061 (multiplicity 4)
O: 0.2886 0.4051 0.4683 (multiplicity 4)
O: 0.2951 0.0891 0.1143 (multiplicity 4)
O: 0.4008 0.4248 0.2280 (multiplicity 4)
O: 0.4056 0.0873 0.5760 (multiplicity 4)

## Properties
Total magnetization   8.00 μB per formula unit
Volume   702 Å³/cell
Crystal system   monoclinic
Final energy   -6.50 eV per atom